No. 1
The following is a DFT calculation (PBE) of a relaxed structure of Fe14CoOs.

Values from the calculation:
Electronic total energy = -8.53 eV per atom

Cell: 5.7324 8.0973 8.0917 Å, 90.00 90.00 90.00°
Space group Cmmm (No. 65)
Symmetry-distinct sites (fractional):
Fe (0.0000, 0.0000, 0.0000)
Fe (0.0000, 0.2484, 0.2485)
Fe (0.0000, 0.5000, 0.0000)
Fe (0.2460, 0.5000, 0.2473)
Fe (0.2500, 0.2500, 0.0000)
Fe (0.2500, 0.2500, 0.5000)
Co (0.0000, 0.5000, 0.5000)
Os (0.0000, 0.0000, 0.5000)

---

No. 2
The following is a DFT calculation (PBE) of a relaxed structure of HoEr2Cd.

Values from the calculation:
Relative energy among the computed polymorphs = 1.37 kcal/mol of atoms

Cell: 4.8137 4.8137 4.8083 Å, 90.00 90.00 90.00°
Space group P4/mmm (No. 123)
Symmetry-distinct sites (fractional):
Ho (0.0000, 0.0000, 0.0000)
Er (0.0000, 0.5000, 0.5000)
Cd (0.5000, 0.5000, 0.0000)

---

No. 3
The following is a DFT calculation (PBE) of a relaxed structure of In2PtSe.

Values from the calculation:
E_form (uncorrected) = -263 meV per atom

Cell: 3.6513 3.6541 13.7308 Å, 90.00 90.00 90.00°
Space group Imm2 (No. 44)
Symmetry-distinct sites (fractional):
In (0.0000, 0.0000, 0.0000)
In (0.0000, 0.5000, 0.2727)
Pt (0.0000, 0.5000, 0.8461)
Se (0.0000, 0.0000, 0.6007)

---

No. 4
The following is a DFT calculation (PBE) of a relaxed structure of Si2SbPb.

Values from the calculation:
E_form (uncorrected) = 600 meV per atom
Relative energy among the computed polymorphs = 7.74 kcal/mol of atoms

Cell: 7.1675 7.1675 7.1675 Å, 90.00 90.00 90.00°
Space group F-43m (No. 216)
Symmetry-distinct sites (fractional):
Si (0.0000, 0.0000, 0.0000)
Si (0.2500, 0.2500, 0.2500)
Sb (0.0000, 0.0000, 0.5000)
Pb (0.2500, 0.2500, 0.7500)

---

No. 5
The following is a DFT calculation (PBE) of a relaxed structure of Rb2NaHgBr5.

Values from the calculation:
E_form (uncorrected) = -1268 meV per atom

Cell: 4.4588 20.6613 14.2821 Å, 90.00 90.00 90.00°
Space group Cmc2_1 (No. 36)
Symmetry-distinct sites (fractional):
Rb (0.0000, 0.1284, 0.0000)
Rb (0.0000, 0.1379, 0.6357)
Na (0.0000, 0.2154, 0.3483)
Hg (0.0000, 0.4427, 0.7513)
Br (0.0000, 0.0436, 0.3597)
Br (0.0000, 0.2953, 0.9797)
Br (0.0000, 0.3172, 0.6964)
Br (0.0000, 0.3542, 0.3202)
Br (0.0000, 0.4975, 0.0894)

---

No. 6
The following is a DFT calculation (PBE) of a relaxed structure of YZn2Ag6.

Values from the calculation:
Electronic total energy = -2.94 eV per atom

Cell: 10.0101 6.1752 5.6868 Å, 90.00 97.20 90.00°
Space group C2/m (No. 12)
Symmetry-distinct sites (fractional):
Y (0.0000, 0.0000, 0.0000)
Zn (0.0871, 0.5000, 0.8669)
Ag (0.0000, 0.2329, 0.5000)
Ag (0.2300, 0.2741, 0.2502)